DFT (PBE) results for a relaxed structure of SmTiH.

calculated volume: 16.65 A^3/atom
size of the total moment: 0.30 μB/cell
calculated total energy: -31.4 eV per cell

Cell and atoms, written as CIF:
```
data_SmTiH
_chemical_formula_sum 'Sm2 Ti2 H2'
_space_group_name_H-M_alt 'P -6 m 2'
_space_group_IT_number 187
_space_group_name_Hall 'P -6 2'
_cell_length_a 3.2274
_cell_length_b 3.2274
_cell_length_c 11.0730
_cell_angle_alpha 90.00
_cell_angle_beta 90.00
_cell_angle_gamma 120.00
loop_
_atom_site_label
_atom_site_fract_x
_atom_site_fract_y
_atom_site_fract_z
_atom_site_occupancy
Sm1 0.0000 0.0000 0.1519 1
Ti1 0.3333 0.6667 0.3822 1
H1 0.0000 0.0000 0.5000 1
H2 0.3333 0.6667 0.0000 1
```

DFT (PBE) results for a relaxed structure of DyCd3Pd4.

E_form: -0.57 eV per atom
calculated volume: 18.41 A^3/atom
size of the total moment: 0.00 μB/cell

Cell and atoms, written as CIF:
```
data_DyCd3Pd4
_chemical_formula_sum 'Dy2 Cd6 Pd8'
_space_group_name_H-M_alt 'P m m a'
_space_group_IT_number 51
_space_group_name_Hall '-P 2a 2a'
_cell_length_a 9.4785
_cell_length_b 6.5565
_cell_length_c 4.7395
_cell_angle_alpha 90.00
_cell_angle_beta 90.00
_cell_angle_gamma 90.00
loop_
_atom_site_label
_atom_site_fract_x
_atom_site_fract_y
_atom_site_fract_z
_atom_site_occupancy
Dy1 0.0000 0.0000 0.0000 1
Cd1 0.0000 0.5000 0.0000 1
Cd2 0.2500 0.0000 0.4940 1
Cd3 0.2500 0.5000 0.4913 1
Pd1 0.0000 0.2585 0.5000 1
Pd2 0.2500 0.2585 0.9906 1
```

DFT (PBE) results for a relaxed structure of ZnCd2P.

E_form: 0.24 eV per atom
calculated volume: 19.42 A^3/atom
size of the total moment: 0.00 μB/cell
excess energy over the best structure of this formula in the dataset: 3.37 kcal/mol of atoms

Cell and atoms, written as CIF:
```
data_ZnCd2P
_chemical_formula_sum 'Zn1 Cd2 P1'
_space_group_name_H-M_alt 'P 4/m m m'
_space_group_IT_number 123
_space_group_name_Hall '-P 4 2'
_cell_length_a 4.4131
_cell_length_b 4.4131
_cell_length_c 3.9894
_cell_angle_alpha 90.00
_cell_angle_beta 90.00
_cell_angle_gamma 90.00
loop_
_atom_site_label
_atom_site_fract_x
_atom_site_fract_y
_atom_site_fract_z
_atom_site_occupancy
Zn1 0.0000 0.0000 0.0000 1
Cd1 0.0000 0.5000 0.5000 1
P1 0.5000 0.5000 0.0000 1
```

DFT (PBE) results for a relaxed structure of LiFe2Te.

calculated volume: 15.92 A^3/atom
energy relative to the elements, uncorrected: 25.1 kJ per mole of atoms
size of the total moment: 5.31 μB/cell

Cell and atoms, written as CIF:
```
data_LiFe2Te
_chemical_formula_sum 'Li1 Fe2 Te1'
_space_group_name_H-M_alt 'P 1 2/m 1'
_space_group_IT_number 10
_space_group_name_Hall '-P 2y'
_cell_length_a 2.9663
_cell_length_b 4.6444
_cell_length_c 4.6237
_cell_angle_alpha 90.00
_cell_angle_beta 90.75
_cell_angle_gamma 90.00
loop_
_atom_site_label
_atom_site_fract_x
_atom_site_fract_y
_atom_site_fract_z
_atom_site_occupancy
Li1 0.0000 0.0000 0.0000 1
Fe1 0.2913 0.5000 0.2226 1
Te1 0.5000 0.0000 0.5000 1
```